DFT (GGA+U) results for a geometry-optimized Fe2IO structure.

Lattice parameters (Å, degrees): 4.5189 4.5189 4.5189 60.00 60.00 60.00
With the nearest neighbours (Å) after each atom.
Sites, in units of the cell vectors:
Fe 0.2500 0.2500 0.2500  4 O 2.77, 4 I 2.77
Fe 0.7500 0.7500 0.7500  4 O 2.77, 4 I 2.77
I 0.0000 0.0000 0.0000  8 Fe 2.77
O 0.5000 0.5000 0.5000  8 Fe 2.77

Output
* magnetization: 7.00 μB/cell
* E_tot: -3.91 eV/atom
* E above lowest polymorph: 1015 meV/atom